LiMo2Ir: PBEsol geometry, SCAN.

a = 4.308 Å, b = 4.308 Å, c = 4.308 Å
α = 60.00°, β = 60.00°, γ = 60.00°
Element x y z (fractional)
Ir 0.000 0.000 0.000
Li 0.500 0.500 0.500
Mo 0.750 0.750 0.750
Mo 0.250 0.250 0.250

Results
space group = Fm-3m
energy = -35.59 eV per atom
E_form = 21 kJ per mole of atoms